Density functional theory data (PBE-GGA) for an optimized crystal structure of CaLaRe2.

```
data_CaLaRe2
_chemical_formula_sum 'Ca1 La1 Re2'
_cell_length_a 3.204
_cell_length_b 3.204
_cell_length_c 9.332
_cell_angle_alpha 90.00
_cell_angle_beta 90.00
_cell_angle_gamma 90.00
_symmetry_space_group_name_H-M 'P 4 m m'
_symmetry_Int_Tables_number 99
loop_
_symmetry_equiv_pos_as_xyz
'x,y,z'
'-y,x,z'
'-x,-y,z'
'y,-x,z'
'-x,y,z'
'y,x,z'
'x,-y,z'
'-y,-x,z'
loop_
_atom_site_label
_atom_site_type_symbol
_atom_site_fract_x
_atom_site_fract_y
_atom_site_fract_z
Ca1 Ca 0.000 0.000 0.000
La1 La 0.500 0.500 0.385
Re1 Re 0.000 0.000 0.628
Re2 Re 0.500 0.500 0.764
```

ΔH_f (0 K)	232	meV per atom
uncorrected energy	-7.724	eV/atom

Density functional theory data (PBE-GGA) for an optimized crystal structure of CaLaRe2.

```
data_CaLaRe2
_chemical_formula_sum 'Ca2 La2 Re4'
_cell_length_a 10.995
_cell_length_b 3.906
_cell_length_c 6.030
_cell_angle_alpha 90.00
_cell_angle_beta 121.49
_cell_angle_gamma 90.00
_symmetry_space_group_name_H-M 'C 1 2/m 1'
_symmetry_Int_Tables_number 12
loop_
_symmetry_equiv_pos_as_xyz
'x,y,z'
'-x,-y,-z'
'-x,y,-z'
'x,-y,z'
'x+1/2,y+1/2,z'
'-x+1/2,-y+1/2,-z'
'-x+1/2,y+1/2,-z'
'x+1/2,-y+1/2,z'
loop_
_atom_site_label
_atom_site_type_symbol
_atom_site_fract_x
_atom_site_fract_y
_atom_site_fract_z
Ca1 Ca 0.000 0.000 0.000
La1 La 0.000 0.500 0.500
Re1 Re 0.248 0.000 0.881
```

ΔH_f (0 K)	540	meV per atom
uncorrected energy	-7.416	eV/atom

Density functional theory data (PBE-GGA) for an optimized crystal structure of CaLaRe2.

```
data_CaLaRe2
_chemical_formula_sum 'Ca2 La2 Re4'
_cell_length_a 4.080
_cell_length_b 4.080
_cell_length_c 9.889
_cell_angle_alpha 90.00
_cell_angle_beta 90.00
_cell_angle_gamma 90.00
_symmetry_space_group_name_H-M 'I 4/m m m'
_symmetry_Int_Tables_number 139
_symmetry_space_group_name_Hall '-I 4 2'
loop_
_atom_site_label
_atom_site_type_symbol
_atom_site_fract_x
_atom_site_fract_y
_atom_site_fract_z
Ca1 Ca 0.000 0.000 0.000
La1 La 0.000 0.000 0.500
Re1 Re 0.000 0.500 0.250
```

ΔH_f (0 K)	918	meV per atom
uncorrected energy	-7.039	eV/atom

Density functional theory data (PBE-GGA) for an optimized crystal structure of CaLa3Re.

```
data_CaLa3Re
_chemical_formula_sum 'Ca1 La3 Re1'
_cell_length_a 5.585
_cell_length_b 5.585
_cell_length_c 5.585
_cell_angle_alpha 90.00
_cell_angle_beta 90.00
_cell_angle_gamma 90.00
_symmetry_space_group_name_H-M 'P m -3 m'
_symmetry_Int_Tables_number 221
_symmetry_space_group_name_Hall '-P 4 2 3'
loop_
_atom_site_label
_atom_site_type_symbol
_atom_site_fract_x
_atom_site_fract_y
_atom_site_fract_z
Ca1 Ca 0.000 0.000 0.000
La1 La 0.000 0.000 0.500
Re1 Re 0.500 0.500 0.500
```

ΔH_f (0 K)	1760	meV per atom
uncorrected energy	-4.086	eV/atom

Density functional theory data (PBE-GGA) for an optimized crystal structure of CaLaRe2.

```
data_CaLaRe2
_chemical_formula_sum 'Ca1 La1 Re2'
_cell_length_a 3.110
_cell_length_b 4.049
_cell_length_c 8.233
_cell_angle_alpha 90.00
_cell_angle_beta 93.88
_cell_angle_gamma 90.00
_symmetry_space_group_name_H-M 'P 1 m 1'
_symmetry_Int_Tables_number 6
loop_
_symmetry_equiv_pos_as_xyz
'x,y,z'
'x,-y,z'
loop_
_atom_site_label
_atom_site_type_symbol
_atom_site_fract_x
_atom_site_fract_y
_atom_site_fract_z
Ca1 Ca 0.000 0.000 0.000
La1 La 0.709 0.500 0.406
Re1 Re 0.158 0.000 0.648
Re2 Re 0.538 0.500 0.745
```

ΔH_f (0 K)	378	meV per atom
uncorrected energy	-7.578	eV/atom

Density functional theory data (PBE-GGA) for an optimized crystal structure of CaLaRe2.

```
data_CaLaRe2
_chemical_formula_sum 'Ca2 La2 Re4'
_cell_length_a 4.180
_cell_length_b 5.297
_cell_length_c 8.475
_cell_angle_alpha 90.00
_cell_angle_beta 90.00
_cell_angle_gamma 90.00
_symmetry_space_group_name_H-M 'I m m 2'
_symmetry_Int_Tables_number 44
loop_
_symmetry_equiv_pos_as_xyz
'x,y,z'
'-x,-y,z'
'-x,y,z'
'x,-y,z'
'x+1/2,y+1/2,z+1/2'
'-x+1/2,-y+1/2,z+1/2'
'-x+1/2,y+1/2,z+1/2'
'x+1/2,-y+1/2,z+1/2'
loop_
_atom_site_label
_atom_site_type_symbol
_atom_site_fract_x
_atom_site_fract_y
_atom_site_fract_z
Ca1 Ca 0.000 0.000 0.000
La1 La 0.000 0.500 0.799
Re1 Re 0.000 0.000 0.571
Re2 Re 0.000 0.500 0.215
```

ΔH_f (0 K)	407	meV per atom
uncorrected energy	-7.550	eV/atom

Density functional theory data (PBE-GGA) for an optimized crystal structure of CaLaRe2.

```
data_CaLaRe2
_chemical_formula_sum 'Ca4 La4 Re8'
_cell_length_a 6.990
_cell_length_b 6.990
_cell_length_c 6.990
_cell_angle_alpha 90.00
_cell_angle_beta 90.00
_cell_angle_gamma 90.00
_symmetry_space_group_name_H-M 'F m -3 m'
_symmetry_Int_Tables_number 225
_symmetry_space_group_name_Hall '-F 4 2 3'
loop_
_atom_site_label
_atom_site_type_symbol
_atom_site_fract_x
_atom_site_fract_y
_atom_site_fract_z
Ca1 Ca 0.000 0.000 0.000
La1 La 0.000 0.000 0.500
Re1 Re 0.250 0.250 0.250
```

ΔH_f (0 K)	1060	meV per atom
uncorrected energy	-6.896	eV/atom

Density functional theory data (PBE-GGA) for an optimized crystal structure of CaLaRe2.

```
data_CaLaRe2
_chemical_formula_sum 'Ca4 La4 Re8'
_cell_length_a 8.112
_cell_length_b 8.112
_cell_length_c 5.476
_cell_angle_alpha 90.00
_cell_angle_beta 90.00
_cell_angle_gamma 90.00
_symmetry_space_group_name_H-M 'I -4 2 d'
_symmetry_Int_Tables_number 122
_symmetry_space_group_name_Hall 'I -4 2bw'
loop_
_atom_site_label
_atom_site_type_symbol
_atom_site_fract_x
_atom_site_fract_y
_atom_site_fract_z
Ca1 Ca 0.000 0.000 0.000
La1 La 0.000 0.000 0.500
Re1 Re 0.246 0.250 0.125
```

ΔH_f (0 K)	1265	meV per atom
uncorrected energy	-6.691	eV/atom

Density functional theory data (PBE-GGA) for an optimized crystal structure of CaLaRe2.

```
data_CaLaRe2
_chemical_formula_sum 'Ca2 La2 Re4'
_cell_length_a 3.361
_cell_length_b 4.766
_cell_length_c 10.067
_cell_angle_alpha 90.00
_cell_angle_beta 90.00
_cell_angle_gamma 90.00
_symmetry_space_group_name_H-M 'C m m m'
_symmetry_Int_Tables_number 65
_symmetry_space_group_name_Hall '-C 2 2'
loop_
_atom_site_label
_atom_site_type_symbol
_atom_site_fract_x
_atom_site_fract_y
_atom_site_fract_z
Ca1 Ca 0.000 0.000 0.000
La1 La 0.000 0.000 0.500
Re1 Re 0.000 0.500 0.248
```

ΔH_f (0 K)	835	meV per atom
uncorrected energy	-7.121	eV/atom

Density functional theory data (PBE-GGA) for an optimized crystal structure of Ca2La2Re.

```
data_Ca2La2Re
_chemical_formula_sum 'Ca4 La4 Re2'
_cell_length_a 7.383
_cell_length_b 7.383
_cell_length_c 6.289
_cell_angle_alpha 90.00
_cell_angle_beta 90.00
_cell_angle_gamma 90.00
_symmetry_space_group_name_H-M 'P 4/m b m'
_symmetry_Int_Tables_number 127
_symmetry_space_group_name_Hall '-P 4 2ab'
loop_
_atom_site_label
_atom_site_type_symbol
_atom_site_fract_x
_atom_site_fract_y
_atom_site_fract_z
Ca1 Ca 0.182 0.318 0.000
La1 La 0.169 0.669 0.500
Re1 Re 0.000 0.000 0.500
```

ΔH_f (0 K)	436	meV per atom
uncorrected energy	-4.825	eV/atom

Density functional theory data (PBE-GGA) for an optimized crystal structure of CaLaRe2.

```
data_CaLaRe2
_chemical_formula_sum 'Ca1 La1 Re2'
_cell_length_a 3.445
_cell_length_b 4.677
_cell_length_c 5.006
_cell_angle_alpha 90.00
_cell_angle_beta 90.00
_cell_angle_gamma 90.00
_symmetry_space_group_name_H-M 'P m m m'
_symmetry_Int_Tables_number 47
loop_
_symmetry_equiv_pos_as_xyz
'x,y,z'
'-x,-y,-z'
'-x,-y,z'
'x,y,-z'
'x,-y,-z'
'-x,y,z'
'-x,y,-z'
'x,-y,z'
loop_
_atom_site_label
_atom_site_type_symbol
_atom_site_fract_x
_atom_site_fract_y
_atom_site_fract_z
Ca1 Ca 0.000 0.000 0.000
La1 La 0.500 0.500 0.000
Re1 Re 0.000 0.500 0.500
Re2 Re 0.500 0.000 0.500
```

ΔH_f (0 K)	874	meV per atom
uncorrected energy	-7.083	eV/atom

Density functional theory data (PBE-GGA) for an optimized crystal structure of CaLaRe2.

```
data_CaLaRe2
_chemical_formula_sum 'Ca2 La2 Re4'
_cell_length_a 5.878
_cell_length_b 9.932
_cell_length_c 2.906
_cell_angle_alpha 90.00
_cell_angle_beta 109.12
_cell_angle_gamma 90.00
_symmetry_space_group_name_H-M 'C 1 2/m 1'
_symmetry_Int_Tables_number 12
loop_
_symmetry_equiv_pos_as_xyz
'x,y,z'
'-x,-y,-z'
'-x,y,-z'
'x,-y,z'
'x+1/2,y+1/2,z'
'-x+1/2,-y+1/2,-z'
'-x+1/2,y+1/2,-z'
'x+1/2,-y+1/2,z'
loop_
_atom_site_label
_atom_site_type_symbol
_atom_site_fract_x
_atom_site_fract_y
_atom_site_fract_z
Ca1 Ca 0.000 0.000 0.000
La1 La 0.000 0.500 0.000
Re1 Re 0.250 0.250 0.500
```

ΔH_f (0 K)	829	meV per atom
uncorrected energy	-7.127	eV/atom

Question: What is the ΔH_f (0 K) in the first record?
Answer: 232 meV per atom

Question: Which of these has the highest uncorrected energy?
Answer: CaLa3Re

Question: Which of these has the lowest ΔH_f (0 K)?
Answer: number 1

Please write out number 5 again, unchanged.
Density functional theory data (PBE-GGA) for an optimized crystal structure of CaLaRe2.

```
data_CaLaRe2
_chemical_formula_sum 'Ca1 La1 Re2'
_cell_length_a 3.110
_cell_length_b 4.049
_cell_length_c 8.233
_cell_angle_alpha 90.00
_cell_angle_beta 93.88
_cell_angle_gamma 90.00
_symmetry_space_group_name_H-M 'P 1 m 1'
_symmetry_Int_Tables_number 6
loop_
_symmetry_equiv_pos_as_xyz
'x,y,z'
'x,-y,z'
loop_
_atom_site_label
_atom_site_type_symbol
_atom_site_fract_x
_atom_site_fract_y
_atom_site_fract_z
Ca1 Ca 0.000 0.000 0.000
La1 La 0.709 0.500 0.406
Re1 Re 0.158 0.000 0.648
Re2 Re 0.538 0.500 0.745
```

ΔH_f (0 K)	378	meV per atom
uncorrected energy	-7.578	eV/atom